[1]
Here is crystalline MgH6C2O6 at its relaxed geometry from the Alexandria database. Energies are from GGA-PBE.

```
data_MgH6C2O6
_cell_length_a 8.720
_cell_length_b 7.186
_cell_length_c 9.478
_cell_angle_alpha 90.00
_cell_angle_beta 98.06
_cell_angle_gamma 90.00
_space_group_name_H-M_alt 'P 1 21/c 1'
_space_group_IT_number 14
loop_
_space_group_symop_operation_xyz
'x,y,z'
'-x,-y,-z'
'-x,y+1/2,-z+1/2'
'x,-y+1/2,z+1/2'
loop_
_atom_site_label
_atom_site_fract_x
_atom_site_fract_y
_atom_site_fract_z
Mg1 0.000 0.000 0.000
Mg2 0.500 0.000 0.500
H1 0.032 0.152 0.278
H2 0.168 0.028 0.614
H3 0.198 0.100 0.236
H4 0.268 0.608 0.460
H5 0.293 0.109 0.997
H6 0.428 0.708 0.723
C1 0.174 0.613 0.068
C2 0.465 0.224 0.227
O1 0.062 0.722 0.080
O2 0.086 0.109 0.198
O3 0.222 0.018 0.941
O4 0.291 0.652 0.007
O5 0.401 0.106 0.300
O6 0.414 0.230 0.599
```

Properties
Magnetic moment   0.000 μB/cell
Theoretical density   1.7 g/cm³
Distance to the lowest polymorph of the same formula   0.000 eV/atom
Volume   9.80 Å³/atom

=====

[2]
Here is crystalline Mg5H10C4O18 at its relaxed geometry from the Alexandria database. Energies are from GGA-PBE.

```
data_Mg5H10C4O18
_cell_length_a 10.159
_cell_length_b 9.216
_cell_length_c 8.430
_cell_angle_alpha 90.00
_cell_angle_beta 114.47
_cell_angle_gamma 90.00
_space_group_name_H-M_alt 'P 1 21/c 1'
_space_group_IT_number 14
loop_
_space_group_symop_operation_xyz
'x,y,z'
'-x,-y,-z'
'-x,y+1/2,-z+1/2'
'x,-y+1/2,z+1/2'
loop_
_atom_site_label
_atom_site_fract_x
_atom_site_fract_y
_atom_site_fract_z
Mg1 0.000 0.000 0.000
Mg2 0.345 0.069 0.360
Mg3 0.345 0.069 0.991
H1 0.138 0.601 0.864
H2 0.145 0.626 0.300
H3 0.234 0.581 0.072
H4 0.237 0.620 0.622
H5 0.303 0.687 0.351
C1 0.078 0.243 0.783
C2 0.473 0.167 0.738
O1 0.005 0.155 0.178
O2 0.010 0.138 0.814
O3 0.220 0.246 0.855
O4 0.226 0.515 0.616
O5 0.237 0.577 0.956
O6 0.242 0.603 0.296
O7 0.430 0.199 0.217
O8 0.494 0.099 0.882
O9 0.497 0.102 0.616
```

Properties
E_tot   -0.228 hartree per atom
Magnetic moment   0.000 μB/cell
Theoretical density   2.2 g/cm³
Volume   9.71 Å³/atom

=====

[3]
Here is crystalline MgH6C2O6 at its relaxed geometry from the Alexandria database. Energies are from GGA-PBE.

```
data_MgH6C2O6
_cell_length_a 7.541
_cell_length_b 8.725
_cell_length_c 8.547
_cell_angle_alpha 90.00
_cell_angle_beta 90.00
_cell_angle_gamma 90.00
_space_group_name_H-M_alt 'P b c a'
_space_group_IT_number 61
loop_
_space_group_symop_operation_xyz
'x,y,z'
'-x,-y,-z'
'-x+1/2,-y,z+1/2'
'x+1/2,y,-z+1/2'
'x+1/2,-y+1/2,-z'
'-x+1/2,y+1/2,z'
'-x,y+1/2,-z+1/2'
'x,-y+1/2,z+1/2'
loop_
_atom_site_label
_atom_site_fract_x
_atom_site_fract_y
_atom_site_fract_z
Mg1 0.000 0.000 0.000
H1 0.069 0.172 0.309
H2 0.155 0.005 0.622
H3 0.162 0.619 0.985
C1 0.015 0.238 0.731
O1 0.022 0.099 0.778
O2 0.046 0.722 0.401
O3 0.229 0.535 0.036
```

Properties
Magnetic moment   0.000 μB/cell
Theoretical density   1.8 g/cm³
Distance to the lowest polymorph of the same formula   0.009 eV/atom
Volume   9.37 Å³/atom

=====

[4]
Here is crystalline Rb2MgH8C2O10 at its relaxed geometry from the Alexandria database. Energies are from GGA-PBE.

```
data_Rb2MgH8C2O10
_cell_length_a 7.217
_cell_length_b 6.506
_cell_length_c 12.407
_cell_angle_alpha 90.00
_cell_angle_beta 115.81
_cell_angle_gamma 90.00
_space_group_name_H-M_alt 'P 1 21/c 1'
_space_group_IT_number 14
loop_
_space_group_symop_operation_xyz
'x,y,z'
'-x,-y,-z'
'-x,y+1/2,-z+1/2'
'x,-y+1/2,z+1/2'
loop_
_atom_site_label
_atom_site_fract_x
_atom_site_fract_y
_atom_site_fract_z
Rb1 0.244 0.154 0.325
Mg1 0.000 0.000 0.000
H1 0.204 0.658 0.370
H2 0.205 0.708 0.984
H3 0.291 0.173 0.588
H4 0.423 0.121 0.121
C1 0.251 0.657 0.180
O1 0.119 0.701 0.413
O2 0.121 0.692 0.649
O3 0.282 0.175 0.071
O4 0.316 0.581 0.105
O5 0.320 0.581 0.288
```

Properties
E_tot   -0.211 hartree per atom
Magnetic moment   0.002 μB/cell
Theoretical density   2.5 g/cm³
Volume   11.40 Å³/atom

=====

[5]
Here is crystalline MgH30C2S2O18 at its relaxed geometry from the Alexandria database. Energies are from GGA-PBE.

```
data_MgH30C2S2O18
_cell_length_a 9.3456
_cell_length_b 9.3456
_cell_length_c 21.4018
_cell_angle_alpha 90.00
_cell_angle_beta 90.00
_cell_angle_gamma 120.00
_space_group_name_H-M_alt 'R -3'
_space_group_IT_number 148
_space_group_name_Hall '-R 3'
loop_
_atom_site_label
_atom_site_fract_x
_atom_site_fract_y
_atom_site_fract_z
Mg1 0.0000 0.0000 0.0000
H1 0.0144 0.1180 0.3863
H2 0.0291 0.4900 0.6126
H3 0.0322 0.8084 0.0941
H4 0.0525 0.5798 0.1673
H5 0.0705 0.5892 0.8673
C1 0.0000 0.0000 0.3704
S1 0.0000 0.0000 0.2876
O1 0.0051 0.4569 0.1689
O2 0.0185 0.1598 0.7324
O3 0.0258 0.1962 0.9452
```

Properties
E_tot   -0.190 hartree per atom
Magnetic moment   0.965 μB/cell
Theoretical density   1.3 g/cm³
Volume   10.18 Å³/atom